Material: In4BiPb15
Method: DFT, PBE
State: relaxed

CIF file:
```
data_In4BiPb15
_chemical_formula_sum 'In4 Bi1 Pb15'
_cell_length_a 5.037
_cell_length_b 5.037
_cell_length_c 24.369
_cell_angle_alpha 90.00
_cell_angle_beta 90.00
_cell_angle_gamma 90.00
_space_group_name_H-M_alt 'P 1'
_space_group_IT_number 1
loop_
_space_group_symop_operation_xyz
'x,y,z'
loop_
_atom_site_label
_atom_site_type_symbol
_atom_site_fract_x
_atom_site_fract_y
_atom_site_fract_z
In1 In 0.000 0.000 0.099
In2 In 0.000 0.000 0.296
In3 In 0.000 0.000 0.704
In4 In 0.000 0.000 0.901
Bi1 Bi 0.000 0.000 0.500
Pb1 Pb 0.000 0.500 0.000
Pb2 Pb 0.000 0.500 0.200
Pb3 Pb 0.000 0.500 0.397
Pb4 Pb 0.000 0.500 0.603
Pb5 Pb 0.000 0.500 0.800
Pb6 Pb 0.500 0.000 0.000
Pb7 Pb 0.500 0.000 0.200
Pb8 Pb 0.500 0.000 0.397
Pb9 Pb 0.500 0.000 0.603
Pb10 Pb 0.500 0.000 0.800
Pb11 Pb 0.500 0.500 0.100
Pb12 Pb 0.500 0.500 0.299
Pb13 Pb 0.500 0.500 0.500
Pb14 Pb 0.500 0.500 0.701
Pb15 Pb 0.500 0.500 0.900
```

The calculation puts the energy of formation at 0.42 eV/f.u. For the total magnetization, the calculation gives 0.0 μB per cell. The total energy comes out at -3.502 eV/atom. Its space-group type is P4/mmm (123).

Material: InBiPb4
Method: DFT, PBE
State: relaxed

CIF file:
```
data_InBiPb4
_chemical_formula_sum 'In1 Bi1 Pb4'
_cell_length_a 6.538
_cell_length_b 6.538
_cell_length_c 6.538
_cell_angle_alpha 60.00
_cell_angle_beta 60.00
_cell_angle_gamma 60.00
_space_group_name_H-M_alt 'P 1'
_space_group_IT_number 1
loop_
_space_group_symop_operation_xyz
'x,y,z'
loop_
_atom_site_label
_atom_site_type_symbol
_atom_site_fract_x
_atom_site_fract_y
_atom_site_fract_z
In1 In 0.000 0.000 0.000
Bi1 Bi 0.750 0.750 0.750
Pb1 Pb 0.375 0.375 0.375
Pb2 Pb 0.375 0.375 0.876
Pb3 Pb 0.375 0.876 0.375
Pb4 Pb 0.876 0.375 0.375
```

The calculation puts the energy of formation at 1.02 eV/f.u. For the total magnetization, the calculation gives 0.0 μB per cell. The total energy comes out at -3.406 eV/atom. Its space-group type is F-43m (216).

Material: In3BiPb2
Method: DFT, PBE
State: relaxed

CIF file:
```
data_In3BiPb2
_chemical_formula_sum 'In6 Bi2 Pb4'
_cell_length_a 5.988
_cell_length_b 5.988
_cell_length_c 11.026
_cell_angle_alpha 100.81
_cell_angle_beta 100.81
_cell_angle_gamma 107.41
_space_group_name_H-M_alt 'P 1'
_space_group_IT_number 1
loop_
_space_group_symop_operation_xyz
'x,y,z'
loop_
_atom_site_label
_atom_site_type_symbol
_atom_site_fract_x
_atom_site_fract_y
_atom_site_fract_z
In1 In 0.038 0.289 0.578
In2 In 0.125 0.875 0.750
In3 In 0.289 0.038 0.078
In4 In 0.711 0.962 0.922
In5 In 0.875 0.125 0.250
In6 In 0.962 0.711 0.422
Bi1 Bi 0.375 0.625 0.250
Bi2 Bi 0.625 0.375 0.750
Pb1 Pb 0.205 0.455 0.911
Pb2 Pb 0.455 0.205 0.411
Pb3 Pb 0.545 0.795 0.589
Pb4 Pb 0.795 0.545 0.089
```

The calculation puts the energy of formation at 0.11 eV/f.u. For the total magnetization, the calculation gives 0.0 μB per cell. The total energy comes out at -3.234 eV/atom. Its space-group type is C2/c (15).

Material: In3Bi5Pb12
Method: DFT, PBE
State: relaxed

CIF file:
```
data_In3Bi5Pb12
_chemical_formula_sum 'In12 Bi20 Pb48'
_cell_length_a 15.956
_cell_length_b 15.956
_cell_length_c 15.956
_cell_angle_alpha 109.47
_cell_angle_beta 109.47
_cell_angle_gamma 109.47
_space_group_name_H-M_alt 'P 1'
_space_group_IT_number 1
loop_
_space_group_symop_operation_xyz
'x,y,z'
loop_
_atom_site_label
_atom_site_type_symbol
_atom_site_fract_x
_atom_site_fract_y
_atom_site_fract_z
In1 In 0.125 0.250 0.375
In2 In 0.125 0.375 0.750
In3 In 0.250 0.375 0.125
In4 In 0.250 0.875 0.625
In5 In 0.375 0.125 0.250
In6 In 0.375 0.750 0.125
In7 In 0.625 0.250 0.875
In8 In 0.625 0.875 0.750
In9 In 0.750 0.125 0.375
In10 In 0.750 0.625 0.875
In11 In 0.875 0.625 0.250
In12 In 0.875 0.750 0.625
Bi1 Bi 0.000 0.000 0.000
Bi2 Bi 0.000 0.000 0.500
Bi3 Bi 0.000 0.500 0.000
Bi4 Bi 0.000 0.500 0.500
Bi5 Bi 0.125 0.750 0.875
Bi6 Bi 0.125 0.875 0.250
Bi7 Bi 0.250 0.125 0.875
Bi8 Bi 0.250 0.625 0.375
Bi9 Bi 0.375 0.250 0.625
Bi10 Bi 0.375 0.625 0.750
Bi11 Bi 0.500 0.000 0.000
Bi12 Bi 0.500 0.000 0.500
Bi13 Bi 0.500 0.500 0.000
Bi14 Bi 0.500 0.500 0.500
Bi15 Bi 0.625 0.375 0.250
Bi16 Bi 0.625 0.750 0.375
Bi17 Bi 0.750 0.375 0.625
Bi18 Bi 0.750 0.875 0.125
Bi19 Bi 0.875 0.125 0.750
Bi20 Bi 0.875 0.250 0.125
Pb1 Pb 0.067 0.235 0.140
Pb2 Pb 0.067 0.333 0.928
Pb3 Pb 0.072 0.640 0.405
Pb4 Pb 0.072 0.933 0.667
Pb5 Pb 0.095 0.735 0.667
Pb6 Pb 0.095 0.860 0.428
Pb7 Pb 0.140 0.067 0.235
Pb8 Pb 0.140 0.572 0.905
Pb9 Pb 0.167 0.235 0.595
Pb10 Pb 0.167 0.433 0.572
Pb11 Pb 0.235 0.140 0.067
Pb12 Pb 0.235 0.595 0.167
Pb13 Pb 0.265 0.333 0.905
Pb14 Pb 0.265 0.433 0.360
Pb15 Pb 0.333 0.905 0.265
Pb16 Pb 0.333 0.928 0.067
Pb17 Pb 0.360 0.265 0.433
Pb18 Pb 0.360 0.595 0.928
Pb19 Pb 0.405 0.072 0.640
Pb20 Pb 0.405 0.833 0.765
Pb21 Pb 0.428 0.095 0.860
Pb22 Pb 0.428 0.833 0.567
Pb23 Pb 0.433 0.360 0.265
Pb24 Pb 0.433 0.572 0.167
Pb25 Pb 0.567 0.428 0.833
Pb26 Pb 0.567 0.640 0.735
Pb27 Pb 0.572 0.167 0.433
Pb28 Pb 0.572 0.905 0.140
Pb29 Pb 0.595 0.167 0.235
Pb30 Pb 0.595 0.928 0.360
Pb31 Pb 0.640 0.405 0.072
Pb32 Pb 0.640 0.735 0.567
Pb33 Pb 0.667 0.072 0.933
Pb34 Pb 0.667 0.095 0.735
Pb35 Pb 0.735 0.567 0.640
Pb36 Pb 0.735 0.667 0.095
Pb37 Pb 0.765 0.405 0.833
Pb38 Pb 0.765 0.860 0.933
Pb39 Pb 0.833 0.567 0.428
Pb40 Pb 0.833 0.765 0.405
Pb41 Pb 0.860 0.428 0.095
Pb42 Pb 0.860 0.933 0.765
Pb43 Pb 0.905 0.140 0.572
Pb44 Pb 0.905 0.265 0.333
Pb45 Pb 0.928 0.067 0.333
Pb46 Pb 0.928 0.360 0.595
Pb47 Pb 0.933 0.667 0.072
Pb48 Pb 0.933 0.765 0.860
```

The calculation puts the energy of formation at 3.70 eV/f.u. For the total magnetization, the calculation gives 0.0 μB per cell. The total energy comes out at -3.421 eV/atom. Its space-group type is Ia-3d (230).